[1]
A plane-wave DFT calculation with GGA-PBE was carried out for a relaxed structure of Ti8SiPb2.

Results
* E_form (uncorrected): -13.7 kJ per mole of atoms
* raw total energy: -7.0515 eV/atom

The structure in CIF format:
```
data_Ti8SiPb2
_symmetry_space_group_name_H-M 'C 1 2/m 1'
_symmetry_Int_Tables_number 12
_cell_length_a 15.7987
_cell_length_b 4.7876
_cell_length_c 5.1969
_cell_angle_alpha 90.00
_cell_angle_beta 95.55
_cell_angle_gamma 90.00
loop_
_symmetry_equiv_pos_as_xyz
'x,y,z'
'-x,-y,-z'
'-x,y,-z'
'x,-y,z'
'x+1/2,y+1/2,z'
'-x+1/2,-y+1/2,-z'
'-x+1/2,y+1/2,-z'
'x+1/2,-y+1/2,z'
loop_
_atom_site_label
_atom_site_fract_x
_atom_site_fract_y
_atom_site_fract_z
Ti1 0.0424 0.0000 0.2596
Ti2 0.0835 0.5000 0.5481
Ti3 0.1636 0.5000 0.1112
Ti4 0.2360 0.0000 0.3445
Si1 0.0000 0.5000 0.0000
Pb1 0.1505 0.0000 0.7988
```



[2]
A plane-wave DFT calculation with GGA-PBE was carried out for a relaxed structure of Ti3SiPb.

Results
* E_form (uncorrected): 129.0 kJ per mole of atoms
* raw total energy: -5.2257 eV/atom

The structure in CIF format:
```
data_Ti3SiPb
_symmetry_space_group_name_H-M 'P m -3 m'
_symmetry_Int_Tables_number 221
_symmetry_space_group_name_Hall '-P 4 2 3'
_cell_length_a 5.0947
_cell_length_b 5.0947
_cell_length_c 5.0947
_cell_angle_alpha 90.00
_cell_angle_beta 90.00
_cell_angle_gamma 90.00
loop_
_atom_site_label
_atom_site_fract_x
_atom_site_fract_y
_atom_site_fract_z
Ti1 0.0000 0.0000 0.5000
Si1 0.5000 0.5000 0.5000
Pb1 0.0000 0.0000 0.0000
```



[3]
A plane-wave DFT calculation with GGA-PBE was carried out for a relaxed structure of TiSiPb2.

Results
* E_form (uncorrected): 51.8 kJ per mole of atoms
* raw total energy: -4.6469 eV/atom

The structure in CIF format:
```
data_TiSiPb2
_symmetry_space_group_name_H-M 'I -4 2 d'
_symmetry_Int_Tables_number 122
_symmetry_space_group_name_Hall 'I -4 2bw'
_cell_length_a 7.9843
_cell_length_b 7.9843
_cell_length_c 6.0224
_cell_angle_alpha 90.00
_cell_angle_beta 90.00
_cell_angle_gamma 90.00
loop_
_atom_site_label
_atom_site_fract_x
_atom_site_fract_y
_atom_site_fract_z
Ti1 0.0000 0.0000 0.0000
Si1 0.0000 0.0000 0.5000
Pb1 0.2403 0.2500 0.6250
```



[4]
A plane-wave DFT calculation with GGA-PBE was carried out for a relaxed structure of Ti2Si2Pb.

Results
* E_form (uncorrected): -24.9 kJ per mole of atoms
* raw total energy: -6.3270 eV/atom

The structure in CIF format:
```
data_Ti2Si2Pb
_symmetry_space_group_name_H-M 'I 4/m m m'
_symmetry_Int_Tables_number 139
_symmetry_space_group_name_Hall '-I 4 2'
_cell_length_a 3.4996
_cell_length_b 3.4996
_cell_length_c 14.6648
_cell_angle_alpha 90.00
_cell_angle_beta 90.00
_cell_angle_gamma 90.00
loop_
_atom_site_label
_atom_site_fract_x
_atom_site_fract_y
_atom_site_fract_z
Ti1 0.0000 0.0000 0.1169
Si1 0.0000 0.5000 0.2500
Pb1 0.0000 0.0000 0.5000
```



[5]
A plane-wave DFT calculation with GGA-PBE was carried out for a relaxed structure of TiSiPb3.

Results
* E_form (uncorrected): 94.1 kJ per mole of atoms
* raw total energy: -3.9132 eV/atom

The structure in CIF format:
```
data_TiSiPb3
_symmetry_space_group_name_H-M 'P m -3 m'
_symmetry_Int_Tables_number 221
_symmetry_space_group_name_Hall '-P 4 2 3'
_cell_length_a 5.3245
_cell_length_b 5.3245
_cell_length_c 5.3245
_cell_angle_alpha 90.00
_cell_angle_beta 90.00
_cell_angle_gamma 90.00
loop_
_atom_site_label
_atom_site_fract_x
_atom_site_fract_y
_atom_site_fract_z
Ti1 0.0000 0.0000 0.0000
Si1 0.5000 0.5000 0.5000
Pb1 0.0000 0.5000 0.5000
```



[6]
A plane-wave DFT calculation with GGA-PBE was carried out for a relaxed structure of Ti2Si2Pb.

Results
* E_form (uncorrected): -11.6 kJ per mole of atoms
* raw total energy: -6.1893 eV/atom

The structure in CIF format:
```
data_Ti2Si2Pb
_symmetry_space_group_name_H-M 'P 4/m b m'
_symmetry_Int_Tables_number 127
_symmetry_space_group_name_Hall '-P 4 2ab'
_cell_length_a 7.1023
_cell_length_b 7.1023
_cell_length_c 3.4999
_cell_angle_alpha 90.00
_cell_angle_beta 90.00
_cell_angle_gamma 90.00
loop_
_atom_site_label
_atom_site_fract_x
_atom_site_fract_y
_atom_site_fract_z
Ti1 0.1669 0.3331 0.0000
Si1 0.1184 0.6184 0.5000
Pb1 0.0000 0.0000 0.5000
```



[7]
A plane-wave DFT calculation with GGA-PBE was carried out for a relaxed structure of Ti2SiPb.

Results
* E_form (uncorrected): 3.3 kJ per mole of atoms
* raw total energy: -6.1964 eV/atom

The structure in CIF format:
```
data_Ti2SiPb
_symmetry_space_group_name_H-M 'I -4 2 d'
_symmetry_Int_Tables_number 122
_symmetry_space_group_name_Hall 'I -4 2bw'
_cell_length_a 7.2821
_cell_length_b 7.2821
_cell_length_c 5.8531
_cell_angle_alpha 90.00
_cell_angle_beta 90.00
_cell_angle_gamma 90.00
loop_
_atom_site_label
_atom_site_fract_x
_atom_site_fract_y
_atom_site_fract_z
Ti1 0.2202 0.2500 0.1250
Si1 0.0000 0.0000 0.0000
Pb1 0.0000 0.0000 0.5000
```



[8]
A plane-wave DFT calculation with GGA-PBE was carried out for a relaxed structure of Ti2SiPb.

Results
* E_form (uncorrected): 8.8 kJ per mole of atoms
* raw total energy: -6.1386 eV/atom

The structure in CIF format:
```
data_Ti2SiPb
_symmetry_space_group_name_H-M 'F m -3 m'
_symmetry_Int_Tables_number 225
_symmetry_space_group_name_Hall '-F 4 2 3'
_cell_length_a 6.6134
_cell_length_b 6.6134
_cell_length_c 6.6134
_cell_angle_alpha 90.00
_cell_angle_beta 90.00
_cell_angle_gamma 90.00
loop_
_atom_site_label
_atom_site_fract_x
_atom_site_fract_y
_atom_site_fract_z
Ti1 0.2500 0.2500 0.2500
Si1 0.0000 0.0000 0.0000
Pb1 0.0000 0.0000 0.5000
```



[9]
A plane-wave DFT calculation with GGA-PBE was carried out for a relaxed structure of TiSi2Pb.

Results
* E_form (uncorrected): 27.8 kJ per mole of atoms
* raw total energy: -5.3240 eV/atom

The structure in CIF format:
```
data_TiSi2Pb
_symmetry_space_group_name_H-M 'I -4 2 d'
_symmetry_Int_Tables_number 122
_symmetry_space_group_name_Hall 'I -4 2bw'
_cell_length_a 4.3252
_cell_length_b 4.3252
_cell_length_c 18.0889
_cell_angle_alpha 90.00
_cell_angle_beta 90.00
_cell_angle_gamma 90.00
loop_
_atom_site_label
_atom_site_fract_x
_atom_site_fract_y
_atom_site_fract_z
Ti1 0.0000 0.0000 0.0000
Si1 0.1297 0.2500 0.1250
Pb1 0.0000 0.0000 0.5000
```



[10]
A plane-wave DFT calculation with GGA-PBE was carried out for a relaxed structure of TlSiPb3.

Results
* E_form (uncorrected): 97.5 kJ per mole of atoms
* raw total energy: -2.7726 eV/atom

The structure in CIF format:
```
data_TlSiPb3
_symmetry_space_group_name_H-M 'P m -3 m'
_symmetry_Int_Tables_number 221
_symmetry_space_group_name_Hall '-P 4 2 3'
_cell_length_a 5.8020
_cell_length_b 5.8020
_cell_length_c 5.8020
_cell_angle_alpha 90.00
_cell_angle_beta 90.00
_cell_angle_gamma 90.00
loop_
_atom_site_label
_atom_site_fract_x
_atom_site_fract_y
_atom_site_fract_z
Tl1 0.0000 0.0000 0.0000
Si1 0.5000 0.5000 0.5000
Pb1 0.0000 0.0000 0.5000
```



[11]
A plane-wave DFT calculation with GGA-PBE was carried out for a relaxed structure of TlSiPb3.

Results
* E_form (uncorrected): 39.6 kJ per mole of atoms
* raw total energy: -3.3725 eV/atom

The structure in CIF format:
```
data_TlSiPb3
_symmetry_space_group_name_H-M 'P m -3 m'
_symmetry_Int_Tables_number 221
_symmetry_space_group_name_Hall '-P 4 2 3'
_cell_length_a 5.4946
_cell_length_b 5.4946
_cell_length_c 5.4946
_cell_angle_alpha 90.00
_cell_angle_beta 90.00
_cell_angle_gamma 90.00
loop_
_atom_site_label
_atom_site_fract_x
_atom_site_fract_y
_atom_site_fract_z
Tl1 0.0000 0.0000 0.0000
Si1 0.5000 0.5000 0.5000
Pb1 0.0000 0.5000 0.5000
```



[12]
A plane-wave DFT calculation with GGA-PBE was carried out for a relaxed structure of Tm2SiPb.

Results
* E_form (uncorrected): -44.2 kJ per mole of atoms
* raw total energy: -4.9768 eV/atom

The structure in CIF format:
```
data_Tm2SiPb
_symmetry_space_group_name_H-M 'R -3 m'
_symmetry_Int_Tables_number 166
_symmetry_space_group_name_Hall '-R 3 2"'
_cell_length_a 3.9247
_cell_length_b 3.9247
_cell_length_c 24.4185
_cell_angle_alpha 90.00
_cell_angle_beta 90.00
_cell_angle_gamma 120.00
loop_
_atom_site_label
_atom_site_fract_x
_atom_site_fract_y
_atom_site_fract_z
Tm1 0.0000 0.0000 0.2332
Si1 0.0000 0.0000 0.5000
Pb1 0.0000 0.0000 0.0000
```